# K2MgTa (PBEsol, optimized geometry)
# Energy of formation, kJ/mol of formula units: 368
# DFT total energy, eV per atom: -3.180
data_K2MgTa
_symmetry_space_group_name_H-M 'P 1'
_symmetry_Int_Tables_number 1
_symmetry_space_group_name_Hall 'P 1'
_cell_length_a 3.099
_cell_length_b 3.099
_cell_length_c 13.135
_cell_angle_alpha 83.23
_cell_angle_beta 83.23
_cell_angle_gamma 60.00
loop_
_atom_site_label
_atom_site_fract_x
_atom_site_fract_y
_atom_site_fract_z
K1 0.253 0.253 0.241
K2 0.747 0.747 0.759
Mg1 0.500 0.500 0.500
Ta1 0.000 0.000 0.000